# 1
# YMgSc2Ru (GGA-PBE, relaxed)
data_YMgSc2Ru
_space_group_name_H-M_alt 'P 1'
_space_group_IT_number 1
_cell_length_a 4.917
_cell_length_b 4.917
_cell_length_c 5.196
_cell_angle_alpha 90.00
_cell_angle_beta 90.00
_cell_angle_gamma 90.00
loop_
_space_group_symop_operation_xyz
'x,y,z'
loop_
_atom_site_label
_atom_site_type_symbol
_atom_site_fract_x
_atom_site_fract_y
_atom_site_fract_z
Y1 Y 0.000 0.000 0.000
Mg1 Mg 0.500 0.500 0.000
Sc1 Sc 0.000 0.500 0.500
Sc2 Sc 0.500 0.000 0.500
Ru1 Ru 0.500 0.500 0.500
# - Space-group type: P4/mmm (123)
# - Offset from the most stable computed form: 0.0 meV per atom
# - DFT formation energy: -0.094 eV per atom
# - Density: 4.021 g/cm3


# 2
# Mg2Sc5ZnRu2 (GGA-PBE, relaxed)
data_Mg2Sc5ZnRu2
_space_group_name_H-M_alt 'P 1'
_space_group_IT_number 1
_cell_length_a 10.667
_cell_length_b 10.667
_cell_length_c 3.651
_cell_angle_alpha 90.00
_cell_angle_beta 90.00
_cell_angle_gamma 90.00
loop_
_space_group_symop_operation_xyz
'x,y,z'
loop_
_atom_site_label
_atom_site_type_symbol
_atom_site_fract_x
_atom_site_fract_y
_atom_site_fract_z
Mg1 Mg 0.172 0.328 0.000
Mg2 Mg 0.328 0.828 0.000
Mg3 Mg 0.672 0.172 0.000
Mg4 Mg 0.828 0.672 0.000
Sc1 Sc 0.000 0.500 0.500
Sc2 Sc 0.076 0.796 0.500
Sc3 Sc 0.204 0.076 0.500
Sc4 Sc 0.296 0.576 0.500
Sc5 Sc 0.424 0.296 0.500
Sc6 Sc 0.500 0.000 0.500
Sc7 Sc 0.576 0.704 0.500
Sc8 Sc 0.704 0.424 0.500
Sc9 Sc 0.796 0.924 0.500
Sc10 Sc 0.924 0.204 0.500
Zn1 Zn 0.000 0.000 0.000
Zn2 Zn 0.500 0.500 0.000
Ru1 Ru 0.126 0.626 0.000
Ru2 Ru 0.374 0.126 0.000
Ru3 Ru 0.626 0.874 0.000
Ru4 Ru 0.874 0.374 0.000
# - Space-group type: P4/mbm (127)
# - DFT formation energy: -0.276 eV per atom
# - Density: 4.324 g/cm3


# 3
# MgScZnRu (GGA-PBE, relaxed)
data_MgScZnRu
_space_group_name_H-M_alt 'P 1'
_space_group_IT_number 1
_cell_length_a 4.563
_cell_length_b 4.563
_cell_length_c 4.563
_cell_angle_alpha 60.00
_cell_angle_beta 60.00
_cell_angle_gamma 60.00
loop_
_space_group_symop_operation_xyz
'x,y,z'
loop_
_atom_site_label
_atom_site_type_symbol
_atom_site_fract_x
_atom_site_fract_y
_atom_site_fract_z
Mg1 Mg 0.000 0.000 0.000
Sc1 Sc 0.500 0.500 0.500
Zn1 Zn 0.750 0.750 0.750
Ru1 Ru 0.250 0.250 0.250
# - Space-group type: F-43m (216)
# - DFT formation energy: -0.250 eV per atom
# - Density: 5.829 g/cm3